Material: Fe3CoRu
Method: DFT, PBE
State: optimized geometry

It has space group Pm-3m (No. 221), with a = 4.078 Å, b = 4.078 Å, c = 4.078 Å, α = 90.00°, β = 90.00° and γ = 90.00°. The asymmetric unit holds Fe at (0.000, 0.000, 0.500), Co at (0.000, 0.000, 0.000) and Ru at (0.500, 0.500, 0.500).

As for the formation energy from the elements: 1.566 eV/atom. Its total energy is -6.788 eV/atom. The excess energy over the best structure of this formula in the dataset comes out at 0 kJ/mol of formula units.

---

Material: LaCdN2F
Method: DFT, PBE
State: optimized geometry

It has space group P4/mmm (No. 123), with a = 4.515 Å, b = 4.515 Å, c = 4.578 Å, α = 90.00°, β = 90.00° and γ = 90.00°. The asymmetric unit holds La at (0.000, 0.000, 0.000), Cd at (0.500, 0.500, 0.500), N at (0.000, 0.500, 0.000) and F at (0.000, 0.000, 0.500).

Its total energy is -5.021 eV/atom. The excess energy over the best structure of this formula in the dataset comes out at 111 kJ/mol of formula units.

---

Material: Tb3HoPb5
Method: DFT, PBE
State: optimized geometry

It has space group P6_3/mcm (No. 193), with a = 9.5551 Å, b = 9.5551 Å, c = 6.5479 Å, α = 90.00°, β = 90.00° and γ = 120.00°. The asymmetric unit holds Tb at (0.0000, 0.3813, 0.2500), Ho at (0.0000, 0.0000, 0.0000), Pb at (0.0000, 0.2868, 0.7500) and Pb at (0.3333, 0.6667, 0.0000).

As for the formation energy from the elements: -0.420 eV/atom. Its total energy is -4.533 eV/atom.

---

Material: TaS2Br
Method: DFT, PBE
State: optimized geometry

It has space group R-3m (No. 166, hexagonal axes), with a = 3.3299 Å, b = 3.3299 Å, c = 30.8998 Å, α = 90.00°, β = 90.00° and γ = 120.00°. The asymmetric unit holds Ta at (0.0000, 0.0000, 0.0000), S at (0.0000, 0.0000, 0.3835) and Br at (0.0000, 0.0000, 0.5000).

Its total energy is -6.095 eV/atom. The excess energy over the best structure of this formula in the dataset comes out at 88 kJ/mol of formula units.

---

Material: Fe2Pt5Rh5
Method: DFT, PBE
State: optimized geometry

It has space group C2/m (No. 12), with a = 11.592 Å, b = 3.870 Å, c = 8.679 Å, α = 90.00°, β = 116.20° and γ = 90.00°. The asymmetric unit holds Fe at (0.085, 0.000, 0.251), Pt at (0.000, 0.500, 0.000), Pt at (0.080, 0.500, 0.752), Pt at (0.167, 0.500, 0.500), Rh at (0.000, 0.000, 0.500), Rh at (0.168, 0.000, 0.003) and Rh at (0.244, 0.500, 0.246).

As for the formation energy from the elements: -0.116 eV/atom. Its total energy is -7.106 eV/atom.

---

Material: NaHoCdBr6
Method: DFT, PBE
State: optimized geometry

It has space group P-31c (No. 163), with a = 7.1545 Å, b = 7.1545 Å, c = 13.3917 Å, α = 90.00°, β = 90.00° and γ = 120.00°. The asymmetric unit holds Na at (0.0000, 0.0000, 0.0000), Ho at (0.3333, 0.6667, 0.2500), Cd at (0.3333, 0.6667, 0.7500) and Br at (0.0020, 0.3558, 0.1303).

Its total energy is -3.324 eV/atom.

---

Material: KHg6S8
Method: DFT, PBE
State: optimized geometry

It has space group R-3 (No. 148, hexagonal axes), with a = 10.8711 Å, b = 10.8711 Å, c = 11.3256 Å, α = 90.00°, β = 90.00° and γ = 120.00°. The asymmetric unit holds K at (0.0000, 0.0000, 0.0000), Hg at (0.0566, 0.8106, 0.6396), S at (0.0000, 0.0000, 0.2924) and S at (0.0346, 0.6321, 0.7965).

Its total energy is -2.401 eV/atom.

---

Material: ZrTi2MoH
Method: DFT, PBE
State: optimized geometry

It has space group P4/mmm (No. 123), with a = 3.989 Å, b = 3.989 Å, c = 4.658 Å, α = 90.00°, β = 90.00° and γ = 90.00°. The asymmetric unit holds Zr at (0.000, 0.000, 0.000), Ti at (0.000, 0.500, 0.500), Mo at (0.500, 0.500, 0.000) and H at (0.500, 0.500, 0.500).

Its total energy is -7.699 eV/atom. The excess energy over the best structure of this formula in the dataset comes out at 23 kJ/mol of formula units.

---

Material: La2SmFe
Method: DFT, PBE
State: optimized geometry

It has space group P2_1/m (No. 11), with a = 3.814 Å, b = 9.968 Å, c = 6.277 Å, α = 90.00°, β = 105.16° and γ = 90.00°. The asymmetric unit holds La at (0.127, 0.077, 0.276), Sm at (0.452, 0.250, 0.808) and Fe at (0.192, 0.750, 0.554).

As for the formation energy from the elements: 0.081 eV/atom. Its total energy is -5.678 eV/atom. The excess energy over the best structure of this formula in the dataset comes out at 0 kJ/mol of formula units.

---

Material: LiFeNi2
Method: DFT, PBE
State: optimized geometry

It has space group Pmm2 (No. 25), with a = 2.498 Å, b = 4.166 Å, c = 4.313 Å, α = 90.00°, β = 90.00° and γ = 90.00°. The asymmetric unit holds Li at (0.000, 0.000, 0.000), Fe at (0.000, 0.500, 0.369), Ni at (0.500, 0.000, 0.502) and Ni at (0.500, 0.500, 0.865).

As for the formation energy from the elements: 0.008 eV/atom. Its total energy is -5.477 eV/atom.

---

Material: Ge2Pd7S2
Method: DFT, PBE
State: optimized geometry

It has space group C2/m (No. 12), with a = 8.506 Å, b = 7.289 Å, c = 6.171 Å, α = 90.00°, β = 101.94° and γ = 90.00°. The asymmetric unit holds Ge at (0.218, 0.000, 0.043), Pd at (0.000, 0.500, 0.000), Pd at (0.024, 0.000, 0.285), Pd at (0.233, 0.295, 0.273) and S at (0.000, 0.285, 0.500).

Its total energy is -5.101 eV/atom.

---

Material: Cs4Pr3SnTe8
Method: DFT, PBE
State: optimized geometry

It has space group R-3m (No. 166, hexagonal axes), with a = 9.3841 Å, b = 9.3841 Å, c = 26.7989 Å, α = 90.00°, β = 90.00° and γ = 120.00°. The asymmetric unit holds Cs at (0.0000, 0.0000, 0.0000), Cs at (0.0000, 0.5000, 0.0000), Pr at (0.0000, 0.5000, 0.5000), Sn at (0.0000, 0.0000, 0.5000), Te at (0.0000, 0.0000, 0.2325) and Te at (0.0072, 0.5036, 0.2305).

Its total energy is -4.117 eV/atom.

---

Material: LaAl2HRh
Method: DFT, PBE
State: optimized geometry

It has space group P4/mmm (No. 123), with a = 5.490 Å, b = 5.490 Å, c = 3.748 Å, α = 90.00°, β = 90.00° and γ = 90.00°. The asymmetric unit holds La at (0.000, 0.000, 0.000), Al at (0.000, 0.500, 0.000), H at (0.000, 0.000, 0.500) and Rh at (0.500, 0.500, 0.500).

Its total energy is -3.573 eV/atom.

---

Material: Te2SeBr
Method: DFT, PBE
State: optimized geometry

It has space group Immm (No. 71), with a = 3.669 Å, b = 7.264 Å, c = 9.163 Å, α = 90.00°, β = 90.00° and γ = 90.00°. The asymmetric unit holds Te at (0.000, 0.000, 0.230), Se at (0.000, 0.500, 0.500) and Br at (0.000, 0.500, 0.000).

Its total energy is -2.678 eV/atom. The excess energy over the best structure of this formula in the dataset comes out at 94 kJ/mol of formula units.

---

Material: Mn2CoPt5
Method: DFT, PBE
State: optimized geometry

It has space group Pbam (No. 55), with a = 5.505 Å, b = 11.023 Å, c = 3.860 Å, α = 90.00°, β = 90.00° and γ = 90.00°. The asymmetric unit holds Mn at (0.245, 0.125, 0.000), Co at (0.000, 0.500, 0.500), Pt at (0.000, 0.000, 0.500), Pt at (0.011, 0.745, 0.500) and Pt at (0.238, 0.381, 0.000).

As for the formation energy from the elements: -0.295 eV/atom. Its total energy is -7.251 eV/atom.